# 1
Below is FeRe2Os after structural relaxation, with properties calculated at the PBE level.

Excess energy over the best structure of this formula in the dataset in meV/atom: 53
Formation energy from the elements in eV/f.u.: 0.3

Lattice parameters (Å, degrees): 3.807 3.807 3.836 90.00 90.00 90.00
Fractional coordinates of all 4 atoms:
Fe (0.000, 0.000, 0.000)
Re (0.000, 0.500, 0.500)
Re (0.500, 0.000, 0.500)
Os (0.500, 0.500, 0.000)

---

# 2
Below is FeReOs2 after structural relaxation, with properties calculated at the PBE level.

Excess energy over the best structure of this formula in the dataset in meV/atom: 332
Formation energy from the elements in eV/f.u.: 1.7

Lattice parameters (Å, degrees): 2.674 2.674 8.919 90.00 90.00 115.89
Fractional coordinates of all 4 atoms:
Fe (0.000, 0.000, 0.000)
Re (0.000, 0.000, 0.500)
Os (0.500, 0.500, 0.243)
Os (0.500, 0.500, 0.757)

---

# 3
Below is FeRe2Os after structural relaxation, with properties calculated at the PBE level.

Excess energy over the best structure of this formula in the dataset in meV/atom: 46
Formation energy from the elements in eV/f.u.: 0.3

Lattice parameters (Å, degrees): 4.658 4.658 4.658 131.72 131.72 70.67
Fractional coordinates of all 4 atoms:
Fe (0.000, 0.000, 0.000)
Re (0.250, 0.750, 0.500)
Re (0.750, 0.250, 0.500)
Os (0.500, 0.500, 0.000)

---

# 4
Below is FeRe2Os after structural relaxation, with properties calculated at the PBE level.

Excess energy over the best structure of this formula in the dataset in meV/atom: 77
Formation energy from the elements in eV/f.u.: 0.4

Lattice parameters (Å, degrees): 4.130 5.145 5.145 30.59 90.00 90.00
Fractional coordinates of all 4 atoms:
Fe (0.000, 0.000, 0.000)
Re (0.000, 0.742, 0.742)
Re (0.500, 0.395, 0.395)
Os (0.500, 0.127, 0.127)

---

# 5
Below is FeReOs3 after structural relaxation, with properties calculated at the PBE level.

Excess energy over the best structure of this formula in the dataset in meV/atom: 0
Formation energy from the elements in eV/f.u.: 9.7

Lattice parameters (Å, degrees): 4.335 4.335 4.335 90.00 90.00 90.00
Fractional coordinates of all 5 atoms:
Fe (0.000, 0.000, 0.000)
Re (0.500, 0.500, 0.500)
Os (0.000, 0.000, 0.500)
Os (0.000, 0.500, 0.000)
Os (0.500, 0.000, 0.000)

---

# 6
Below is FeReOs2 after structural relaxation, with properties calculated at the PBE level.

Excess energy over the best structure of this formula in the dataset in meV/atom: 31
Formation energy from the elements in eV/f.u.: 0.5

Lattice parameters (Å, degrees): 2.703 2.703 7.446 90.00 90.00 90.00
Fractional coordinates of all 4 atoms:
Fe (0.000, 0.000, 0.000)
Re (0.500, 0.500, 0.765)
Os (0.000, 0.000, 0.494)
Os (0.500, 0.500, 0.238)

---

# 7
Below is FeReOs after structural relaxation, with properties calculated at the PBE level.

Excess energy over the best structure of this formula in the dataset in meV/atom: 755
Formation energy from the elements in eV/f.u.: 2.5

Lattice parameters (Å, degrees): 6.382 6.382 6.382 60.00 60.00 60.00
Fractional coordinates of all 12 atoms:
Fe (0.407, 0.407, 0.407)
Fe (0.407, 0.407, 0.780)
Fe (0.407, 0.780, 0.407)
Fe (0.780, 0.407, 0.407)
Re (0.136, 0.136, 0.136)
Re (0.136, 0.136, 0.592)
Re (0.136, 0.592, 0.136)
Re (0.592, 0.136, 0.136)
Os (0.432, 0.856, 0.856)
Os (0.856, 0.432, 0.856)
Os (0.856, 0.856, 0.432)
Os (0.856, 0.856, 0.856)

---

# 8
Below is FeRe2Os after structural relaxation, with properties calculated at the PBE level.

Excess energy over the best structure of this formula in the dataset in meV/atom: 256
Formation energy from the elements in eV/f.u.: 1.1

Lattice parameters (Å, degrees): 4.324 4.324 4.324 60.00 60.00 60.00
Fractional coordinates of all 4 atoms:
Fe (0.000, 0.000, 0.000)
Re (0.250, 0.250, 0.250)
Re (0.500, 0.500, 0.500)
Os (0.750, 0.750, 0.750)